# 1
Material: CdReSeN2
Method: DFT, PBEsol
State: relaxed

Output
Formation energy from raw total energies, eV per atom: 0.2646
Uncorrected energy, eV per atom: -6.822

Unit cell a=3.843 b=3.843 c=5.399 alpha=90.00 beta=90.00 gamma=90.00
Fractional coordinates of all 5 atoms:
N 0.500 0.000 0.000
Se 0.000 0.000 0.500
Re 0.000 0.000 0.000
Cd 0.500 0.500 0.500
N 0.000 0.500 0.000

***

# 2
Material: TiFeS2
Method: DFT, PBEsol
State: relaxed

Output
Formation energy from raw total energies, eV per atom: -0.3063
Polymorph energy (0 for the lowest one), meV per atom: 341.9
Uncorrected energy, eV per atom: -6.820

Unit cell a=3.059 b=3.059 c=7.723 alpha=78.58 beta=78.58 gamma=60.00
Last column: magnetic moment on the atom in μB.
Fractional coordinates of all 4 atoms:
S 0.895 0.895 0.316  0.04
Fe 0.500 0.500 0.500  1.30
S 0.105 0.105 0.684  0.04
Ti 0.000 0.000 0.000  -0.04

***

# 3
Material: K2Bi2Au
Method: DFT, PBEsol
State: relaxed

Output
Uncorrected energy, eV per atom: -3.236

Unit cell a=5.799 b=7.492 c=7.492 alpha=90.00 beta=90.00 gamma=90.00
Fractional coordinates of all 10 atoms:
K 0.500 0.666 0.834
Au 0.000 0.000 0.000
K 0.500 0.334 0.166
Bi 0.000 0.352 0.852
K 0.500 0.834 0.334
K 0.500 0.166 0.666
Bi 0.000 0.648 0.148
Bi 0.000 0.852 0.648
Au 0.000 0.500 0.500
Bi 0.000 0.148 0.352

***

# 4
Material: MgZn3
Method: DFT, PBEsol
State: relaxed

Output
Uncorrected energy, eV per atom: -1.679

Unit cell a=7.427 b=7.427 c=8.033 alpha=90.00 beta=90.00 gamma=120.00
Fractional coordinates of all 24 atoms:
Zn 0.667 0.333 0.698
Zn 0.667 0.333 0.198
Zn 0.000 0.667 0.109
Zn 0.667 0.000 0.786
Zn 0.667 0.667 0.286
Zn 0.667 0.667 0.609
Zn 0.000 0.000 0.197
Zn 0.333 0.333 0.109
Mg 0.000 0.667 0.447
Mg 0.667 0.667 0.947
Mg 0.333 0.333 0.447
Zn 0.333 0.000 0.286
Zn 0.333 0.000 0.609
Zn 0.000 0.333 0.286
Zn 0.667 0.000 0.109
Mg 0.000 0.333 0.947
Mg 0.333 0.000 0.947
Zn 0.000 0.333 0.609
Zn 0.000 0.000 0.697
Mg 0.667 0.000 0.447
Zn 0.333 0.667 0.698
Zn 0.000 0.667 0.786
Zn 0.333 0.333 0.786
Zn 0.333 0.667 0.198

***

# 5
Material: LuBPt2
Method: DFT, PBEsol
State: relaxed

Output
Uncorrected energy, eV per atom: -7.479

Unit cell a=5.224 b=5.224 c=7.837 alpha=90.00 beta=90.00 gamma=120.00
Fractional coordinates of all 12 atoms:
Pt 0.849 0.699 0.167
B 0.500 0.500 0.000
Pt 0.151 0.301 0.167
Pt 0.699 0.849 0.833
Pt 0.301 0.151 0.833
Lu 0.500 0.000 0.167
Pt 0.151 0.849 0.500
Lu 0.500 0.500 0.500
Pt 0.849 0.151 0.500
B 0.000 0.500 0.333
Lu 0.000 0.500 0.833
B 0.500 0.000 0.667

***

# 6
Material: SrNi10P6
Method: DFT, PBEsol
State: relaxed

Output
Uncorrected energy, eV per atom: -6.465

Unit cell a=6.351 b=8.554 c=8.620 alpha=90.00 beta=90.00 gamma=111.79
Fractional coordinates of all 34 atoms:
Ni 0.086 0.672 0.250
Ni 0.456 0.912 0.619
P 0.708 0.417 0.927
Ni 0.974 0.347 0.030
P 0.144 0.789 0.750
P 0.292 0.583 0.073
Ni 0.474 0.347 0.470
P 0.208 0.417 0.573
Ni 0.044 0.088 0.119
P 0.856 0.211 0.250
P 0.091 0.182 0.870
P 0.644 0.789 0.750
Ni 0.873 0.347 0.470
P 0.792 0.583 0.427
Ni 0.956 0.912 0.881
Ni 0.026 0.653 0.970
Ni 0.293 0.585 0.792
P 0.591 0.182 0.630
P 0.409 0.818 0.370
Sr 0.500 0.000 0.000
Ni 0.793 0.585 0.708
Ni 0.414 0.328 0.750
Ni 0.914 0.328 0.750
P 0.909 0.818 0.130
Ni 0.544 0.088 0.381
P 0.356 0.211 0.250
Ni 0.373 0.347 0.030
Ni 0.627 0.653 0.970
Ni 0.127 0.653 0.530
Sr 0.000 0.000 0.500
Ni 0.586 0.672 0.250
Ni 0.207 0.415 0.292
Ni 0.526 0.653 0.530
Ni 0.707 0.415 0.208

***

# 7
Material: Li10Ti11Cr9O40
Method: DFT, PBEsol
State: relaxed

Output
Formation energy from raw total energies, eV per atom: -2.5396
Uncorrected energy, eV per atom: -8.445

Unit cell a=5.869 b=5.829 c=24.110 alpha=82.99 beta=89.65 gamma=60.01
Last column: magnetic moment on the atom in μB.
Fractional coordinates of all 70 atoms:
Li 0.974 0.054 0.426  0.00
O 0.547 0.911 0.143  0.02
Li 0.575 0.860 0.224  0.00
O 0.235 0.973 0.748  0.01
O 0.058 0.881 0.657  0.01
Ti 0.595 0.313 0.301  0.00
O 0.584 0.387 0.149  0.01
Li 0.826 0.346 0.975  0.00
O 0.568 0.861 0.653  0.01
Li 0.622 0.758 0.375  0.00
Li 0.425 0.140 0.776  0.00
O 0.966 0.607 0.853  0.01
O 0.181 0.179 0.948  0.01
O 0.781 0.973 0.748  0.01
O 0.219 0.027 0.252  0.01
O 0.453 0.089 0.857  0.02
O 0.169 0.216 0.452  0.02
Ti 0.500 0.500 0.500  0.07
Cr 0.299 0.406 0.400  2.65
O 0.831 0.784 0.548  0.02
O 0.765 0.027 0.252  0.01
O 0.166 0.672 0.454  0.01
O 0.834 0.328 0.546  0.01
Ti 0.904 0.685 0.698  0.00
O 0.616 0.217 0.452  0.02
O 0.370 0.271 0.052  0.01
O 0.384 0.783 0.548  0.02
O 0.631 0.184 0.947  0.02
Cr 0.799 0.897 0.900  2.67
O 0.032 0.936 0.148  0.01
Li 0.174 0.654 0.025  0.00
Li 0.773 0.445 0.826  0.00
O 0.145 0.703 0.942  0.02
Cr 0.903 0.188 0.700  2.62
O 0.232 0.523 0.747  0.01
Li 0.026 0.946 0.574  0.00
Cr 0.300 0.396 0.900  2.68
O 0.428 0.597 0.347  0.01
O 0.768 0.477 0.253  0.01
O 0.747 0.497 0.743  0.01
O 0.369 0.816 0.053  0.02
Cr 0.700 0.604 0.100  2.68
Cr 0.201 0.103 0.100  2.67
Li 0.378 0.242 0.625  0.00
O 0.656 0.692 0.457  0.01
Ti 0.088 0.797 0.801  0.04
Cr 0.097 0.812 0.300  2.62
O 0.980 0.598 0.348  0.01
O 0.020 0.402 0.652  0.01
Li 0.227 0.555 0.174  0.00
O 0.253 0.503 0.257  0.01
Cr 0.701 0.594 0.600  2.65
O 0.855 0.297 0.058  0.02
O 0.344 0.308 0.543  0.01
Ti 0.000 0.500 0.500  0.06
O 0.432 0.139 0.347  0.01
O 0.034 0.393 0.147  0.01
Ti 0.096 0.315 0.302  0.00
Ti 0.500 0.000 0.000  0.07
O 0.819 0.821 0.052  0.01
Ti 0.912 0.203 0.199  0.04
O 0.968 0.064 0.852  0.01
O 0.416 0.613 0.851  0.01
Ti 0.697 0.107 0.100  0.07
Ti 0.303 0.893 0.900  0.07
O 0.572 0.403 0.653  0.01
Cr 0.500 0.000 0.500  2.69
O 0.942 0.119 0.343  0.01
Ti 0.405 0.687 0.699  0.00
O 0.630 0.729 0.948  0.01

***

# 8
Material: SrCa2Ga2
Method: DFT, PBEsol
State: relaxed

Output
Polymorph energy (0 for the lowest one), meV per atom: 37.3
Uncorrected energy, eV per atom: -2.856

Unit cell a=4.824 b=4.824 c=7.283 alpha=109.34 beta=109.34 gamma=90.00
Fractional coordinates of all 5 atoms:
Ga 0.405 0.405 0.810
Ga 0.595 0.595 0.190
Ca 0.750 0.250 0.500
Sr 0.000 0.000 0.000
Ca 0.250 0.750 0.500

***

Question: The lowest uncorrected energy belongs to which entry?
Answer: Li10Ti11Cr9O40

***

Question: The lowest uncorrected energy belongs to which entry?
Answer: Li10Ti11Cr9O40